1.
Below is an optimized crystal structure of Ca3PmPa2As6, with properties calculated at the GGA-PBE level.

Lattice parameters (Å, degrees): 7.2851 7.2851 7.2502 99.65 99.65 119.99
Fractional coordinates of all 12 atoms:
Ca 0.0000 0.0000 0.0000
Ca 0.3362 0.6638 0.0000
Ca 0.6638 0.3362 0.0000
Pm 0.5000 0.5000 0.5000
Pa 0.1671 0.8329 0.5000
Pa 0.8329 0.1671 0.5000
As 0.0766 0.4217 0.2659
As 0.2332 0.2332 0.7347
As 0.4217 0.0766 0.2659
As 0.5783 0.9234 0.7341
As 0.7668 0.7668 0.2653
As 0.9234 0.5783 0.7341

For the spin magnetization, the calculation gives 0.0 μB per cell. For the formation energy, the calculation gives -1245 meV per atom.

2.
Below is an optimized crystal structure of LiCd2Pb, with properties calculated at the GGA-PBE level.

Lattice parameters (Å, degrees): 5.5797 5.5797 8.1053 90.00 90.00 132.83
Fractional coordinates of all 8 atoms:
Li 0.2324 0.7676 0.7500
Li 0.7676 0.2324 0.2500
Cd 0.3589 0.6411 0.0576
Cd 0.3589 0.6411 0.4424
Cd 0.6411 0.3589 0.5576
Cd 0.6411 0.3589 0.9424
Pb 0.0630 0.9370 0.2500
Pb 0.9370 0.0630 0.7500

For the spin magnetization, the calculation gives 0.0 μB per cell. For the formation energy, the calculation gives -79 meV per atom.

3.
Below is an optimized crystal structure of Ba6Bi2Se3Br, with properties calculated at the GGA-PBE level.

Lattice parameters (Å, degrees): 11.0023 11.0023 10.1046 103.90 103.90 24.58
Fractional coordinates of all 12 atoms:
Ba 0.0025 0.0025 0.2326
Ba 0.3275 0.3275 0.4284
Ba 0.3345 0.3345 0.9040
Ba 0.6655 0.6655 0.0960
Ba 0.6725 0.6725 0.5716
Ba 0.9975 0.9975 0.7674
Bi 0.1635 0.1635 0.8269
Bi 0.8365 0.8365 0.1731
Se 0.1629 0.1629 0.3356
Se 0.5000 0.5000 0.0000
Se 0.8371 0.8371 0.6644
Br 0.5000 0.5000 0.5000

The value obtained for the formation energy (no corrections) is -1.59 eV/atom. For the spin magnetization, the calculation gives 0.0 μB per cell.

4.
Below is an optimized crystal structure of BaCaCu2P2, with properties calculated at the GGA-PBE level.

Lattice parameters (Å, degrees): 4.1204 4.1204 8.5865 90.00 90.00 120.00
Fractional coordinates of all 6 atoms:
Ba 0.0000 0.0000 0.0000
Ca 0.0000 0.0000 0.5000
Cu 0.3333 0.6667 0.7228
Cu 0.6667 0.3333 0.2772
P 0.3333 0.6667 0.2744
P 0.6667 0.3333 0.7256

For the spin magnetization, the calculation gives 0.0 μB per cell. For the formation energy, the calculation gives -794 meV per atom.

5.
Below is an optimized crystal structure of PmBeGa2Ni4, with properties calculated at the GGA-PBE level.

Lattice parameters (Å, degrees): 8.5020 8.5020 8.5020 27.21 27.21 27.21
Fractional coordinates of all 8 atoms:
Pm 0.0000 0.0000 0.0000
Be 0.5000 0.5000 0.5000
Ga 0.2369 0.2369 0.2369
Ga 0.7631 0.7631 0.7631
Ni 0.1362 0.1362 0.1362
Ni 0.4110 0.4110 0.4110
Ni 0.5890 0.5890 0.5890
Ni 0.8638 0.8638 0.8638

For the spin magnetization, the calculation gives 0.0 μB per cell. For the formation energy, the calculation gives -431 meV per atom.

6.
Below is an optimized crystal structure of HfZrGaHg, with properties calculated at the GGA-PBE level.

Lattice parameters (Å, degrees): 4.8632 4.8632 4.8632 60.00 60.00 60.00
Fractional coordinates of all 4 atoms:
Hf 0.0000 0.0000 0.0000
Zr 0.5000 0.5000 0.5000
Ga 0.2500 0.2500 0.2500
Hg 0.7500 0.7500 0.7500

For the spin magnetization, the calculation gives 0.0 μB per cell. For the formation energy, the calculation gives -181 meV per atom.

no.,D(E_F) (states/eV per cell),VASP energy (eV/atom)
1,6.6,-6.0488
2,3.6,-1.9423
3,5.8,-4.2059
4,0.8,-4.6164
5,4.1,-5.1385
6,4.5,-5.6387